Density functional theory data (GGA-PBE) for an optimized crystal structure of Li4In7Pb.

The structure belongs to space group C2/m (No. 12); the cell edges are 13.706, 5.597 and 9.464 Å and the angles 90.00°, 125.66° and 90.00°. The inequivalent atoms are Li at (0.050, 0.000, 0.241), Li at (0.188, 0.000, 0.849), In at (0.000, 0.000, 0.500), In at (0.066, 0.500, 0.904), In at (0.215, 0.500, 0.383), In at (0.218, 0.000, 0.167) and Pb at (0.000, 0.500, 0.500).

As for the density of states at the Fermi level: 10.0 states/eV per cell. The calculation puts the calculated formation energy at -0.03 eV per atom. The calculation puts the energy at -61.77 eV/cell. For the mass density, the calculation gives 5.85 Mg/m³.